VASP calculation (PBE) on an optimized crystal structure of As2WCl.

abc: 6.354 6.354 6.354
angles: 153.84 135.73 52.15
Sites, in units of the cell vectors:
As  0.057  0.057  0.000
As  0.443  0.443  0.000
Cl  0.750  0.250  0.500
W  0.250  0.750  0.500

## Properties
The symmetry is Immm, No. 71. The value obtained for the offset from the most stable computed form is 513 meV/atom. As for the raw formation energy: 0.492 eV per atom. The calculation puts the total DFT energy (no corrections) at -5.5330 eV per atom.